Density functional theory data (PBE-GGA) for a relaxed LaY2Ag2 crystal.

- magnetic moment (μB per cell) = 0.7
- ΔE to the lowest computed polymorph (meV per atom) = 309.9
- E (eV/atom) = -4.62
- crystal system = tetragonal

a b c (Å): 7.930 7.930 7.930
angles (deg): 146.74 146.74 47.75
Atoms (fractional coordinates):
La  0.000  0.000  0.000
Y  0.381  0.381  0.000
Y  0.619  0.619  0.000
Ag  0.250  0.750  0.500
Ag  0.750  0.250  0.500

***

Density functional theory data (PBE-GGA) for a relaxed La2YAg2 crystal.

- magnetic moment (μB per cell) = 0.0
- ΔE to the lowest computed polymorph (meV per atom) = 0.6
- E (eV/atom) = -4.60
- crystal system = monoclinic

a b c (Å): 6.670 5.111 8.873
angles (deg): 90.00 109.05 90.00
Atoms (fractional coordinates):
La  0.094  0.250  0.371
La  0.121  0.250  0.955
La  0.879  0.750  0.045
La  0.906  0.750  0.629
Y  0.456  0.750  0.239
Y  0.544  0.250  0.761
Ag  0.371  0.750  0.887
Ag  0.386  0.750  0.557
Ag  0.614  0.250  0.443
Ag  0.629  0.250  0.113

***

Density functional theory data (PBE-GGA) for a relaxed LaY2Ag crystal.

- magnetic moment (μB per cell) = 0.0
- ΔE to the lowest computed polymorph (meV per atom) = 163.1
- E (eV/atom) = -5.14
- crystal system = monoclinic

a b c (Å): 5.672 5.672 3.660
angles (deg): 90.12 90.12 101.88
Atoms (fractional coordinates):
La  0.000  0.000  0.000
Y  0.000  0.500  0.500
Y  0.500  0.000  0.500
Ag  0.500  0.500  0.000

***

Density functional theory data (PBE-GGA) for a relaxed LaY2Ag crystal.

- magnetic moment (μB per cell) = 0.0
- ΔE to the lowest computed polymorph (meV per atom) = 162.2
- E (eV/atom) = -5.15
- crystal system = tetragonal

a b c (Å): 6.103 6.103 6.103
angles (deg): 134.12 134.12 66.90
Atoms (fractional coordinates):
La  0.000  0.000  0.000
Y  0.250  0.750  0.500
Y  0.500  0.500  0.000
Ag  0.750  0.250  0.500

***

no.,formation enthalpy at 0 K (eV/atom)
1,0.092
2,-0.195
3,0.032
4,0.031